Entry 1:
Entry from Alexandria: a geometry-optimized ZrUPa2 structure (GGA-PBE).

Lattice parameters (Å, degrees): 5.4424 5.4424 3.1307 90.00 90.00 90.00
With the nearest neighbours (Å) after each atom.
Fractional coordinates of all 4 atoms:
Zr1 0.0000 0.0000 0.0000  2 Zr 3.13, 8 Pa 3.14
U1 0.5000 0.5000 0.0000  2 U 3.13, 8 Pa 3.14
Pa1 0.0000 0.5000 0.5000  2 Pa 3.13, 4 Zr 3.14, 4 U 3.14
Pa2 0.5000 0.0000 0.5000  2 Pa 3.13, 4 Zr 3.14, 4 U 3.14

Output
raw total energy: -9.57 eV per atom
ΔE to the lowest computed polymorph: 0 meV per atom
energy of formation: 13.52 kJ per mole of atoms
space-group type: No. 123
spin magnetization: 0.00 μB/f.u.



Entry 2:
Entry from Alexandria: a geometry-optimized NiSb2TeRh structure (GGA-PBE).

Lattice parameters (Å, degrees): 4.8134 4.8134 5.0880 90.00 90.00 90.00
With the nearest neighbours (Å) after each atom.
Fractional coordinates of all 5 atoms:
Ni1 0.0000 0.0000 0.0000  4 Sb 2.41, 2 Te 2.54
Sb1 0.0000 0.5000 0.0000  2 Ni 2.41
Sb2 0.5000 0.0000 0.0000  2 Ni 2.41
Te1 0.0000 0.0000 0.5000  2 Ni 2.54
Rh1 0.5000 0.5000 0.5000  4 Te 3.40, 8 Sb 3.50

Output
raw total energy: -4.34 eV per atom
ΔE to the lowest computed polymorph: 0 meV per atom
formation energy (no corrections): 2.81 eV/f.u.
space-group type: No. 123
spin magnetization: 0.00 μB/f.u.



Entry 3:
Entry from Alexandria: a geometry-optimized KMnCu3 structure (GGA-PBE).

Lattice parameters (Å, degrees): 4.8228 4.8228 4.8228 90.00 90.00 90.00
With the nearest neighbours (Å) after each atom.
Fractional coordinates of all 5 atoms:
K1 0.0000 0.0000 0.0000  12 Cu 3.41
Mn1 0.5000 0.5000 0.5000  6 Cu 2.41
Cu1 0.0000 0.5000 0.5000  2 Mn 2.41
Cu2 0.5000 0.0000 0.5000  2 Mn 2.41
Cu3 0.5000 0.5000 0.0000  2 Mn 2.41

Output
raw total energy: -3.79 eV per atom
ΔE to the lowest computed polymorph: 0 meV per atom
energy of formation: 69.57 kJ per mole of atoms
space-group type: No. 221
spin magnetization: 4.35 μB/f.u.



Entry 4:
Entry from Alexandria: a geometry-optimized MgMo2Ru structure (GGA-PBE).

Lattice parameters (Å, degrees): 5.1850 5.1850 5.1850 137.83 137.83 61.17
With the nearest neighbours (Å) after each atom.
Fractional coordinates of all 4 atoms:
Mg1 0.0000 0.0000 0.0000  4 Ru 2.64, 8 Mo 2.91
Mo1 0.2500 0.7500 0.5000  4 Mo 2.64, 4 Mg 2.91, 4 Ru 2.91
Mo2 0.7500 0.2500 0.5000  4 Mo 2.64, 4 Mg 2.91, 4 Ru 2.91
Ru1 0.5000 0.5000 0.0000  4 Mg 2.64, 8 Mo 2.91

Output
raw total energy: -7.90 eV per atom
energy of formation: 22.23 kJ per mole of atoms
space-group type: No. 139
spin magnetization: 0.00 μB/f.u.



Entry 5:
Entry from Alexandria: a geometry-optimized Mo3Cl structure (GGA-PBE).

Lattice parameters (Å, degrees): 2.9226 2.9226 8.6513 90.00 90.00 120.00
With the nearest neighbours (Å) after each atom.
Fractional coordinates of all 4 atoms:
Mo1 0.0000 0.0000 0.0000  12 Mo 2.78-2.92
Mo2 0.6667 0.3333 0.2557  3 Cl 2.70, 9 Mo 2.78-2.92
Mo3 0.6667 0.3333 0.7443  3 Cl 2.70, 9 Mo 2.78-2.92
Cl1 0.0000 0.0000 0.5000  6 Mo 2.70, 6 Cl 2.92

Output
raw total energy: -8.16 eV per atom
ΔE to the lowest computed polymorph: 172 meV per atom
formation energy (no corrections): 1.70 eV/f.u.
space-group type: No. 187
spin magnetization: 0.00 μB/f.u.



Entry 6:
Entry from Alexandria: a geometry-optimized Y4Er5 structure (GGA-PBE).

Lattice parameters (Å, degrees): 9.0406 9.0406 9.0406 157.00 96.42 88.15
With the nearest neighbours (Å) after each atom.
Fractional coordinates of all 9 atoms:
Y1 0.0453 0.1894 0.8559  5 Y 3.47-3.60, 6 Er 3.47-3.55
Y2 0.3334 0.1894 0.1441  5 Y 3.47-3.60, 6 Er 3.47-3.55
Y3 0.6666 0.8106 0.8559  5 Y 3.47-3.60, 6 Er 3.47-3.55
Y4 0.9547 0.8106 0.1441  5 Y 3.47-3.60, 6 Er 3.47-3.55
Er1 0.0000 0.5000 0.5000  8 Y 3.51, 4 Er 3.54-3.60
Er2 0.2942 0.5000 0.7942  7 Er 3.47-3.60, 4 Y 3.55
Er3 0.3747 0.8747 0.5000  7 Er 3.25-3.60, 4 Y 3.47
Er4 0.6253 0.1253 0.5000  7 Er 3.25-3.60, 4 Y 3.47
Er5 0.7058 0.5000 0.2058  7 Er 3.47-3.60, 4 Y 3.55

Output
raw total energy: -5.37 eV per atom
ΔE to the lowest computed polymorph: 0 meV per atom
energy of formation: 4.13 kJ per mole of atoms
space-group type: No. 71
spin magnetization: 0.00 μB/f.u.



Entry 7:
Entry from Alexandria: a geometry-optimized PuTcSbRu structure (GGA-PBE).

Lattice parameters (Å, degrees): 4.6754 4.6754 4.6754 60.00 60.00 60.00
With the nearest neighbours (Å) after each atom.
Fractional coordinates of all 4 atoms:
Pu1 0.0000 0.0000 0.0000  4 Ru 2.86, 4 Tc 2.86
Tc1 0.2500 0.2500 0.2500  4 Sb 2.86, 4 Pu 2.86
Sb1 0.5000 0.5000 0.5000  4 Ru 2.86, 4 Tc 2.86
Ru1 0.7500 0.7500 0.7500  4 Sb 2.86, 4 Pu 2.86

Output
raw total energy: -9.72 eV per atom
formation energy (no corrections): -0.77 eV/f.u.
space-group type: No. 216
spin magnetization: 4.09 μB/f.u.



Entry 8:
Entry from Alexandria: a geometry-optimized LuNbRe structure (GGA-PBE).

Lattice parameters (Å, degrees): 5.8497 5.8497 5.8497 147.23 147.23 47.03
With the nearest neighbours (Å) after each atom.
Fractional coordinates of all 3 atoms:
Lu1 0.0000 0.0000 0.0000  4 Re 3.00, 5 Nb 3.17-3.22, 4 Lu 3.30
Nb1 0.3006 0.3006 0.0000  4 Re 2.69
Re1 0.6759 0.6759 0.0000  4 Nb 2.69, 4 Lu 3.00

Output
raw total energy: -9.05 eV per atom
energy of formation: -3.14 kJ per mole of atoms
space-group type: No. 107
spin magnetization: 0.00 μB/f.u.



Entry 9:
Entry from Alexandria: a geometry-optimized InAgS2 structure (GGA-PBE).

Lattice parameters (Å, degrees): 7.1043 7.1043 7.1043 30.50 30.50 30.50
With the nearest neighbours (Å) after each atom.
Fractional coordinates of all 4 atoms:
In1 0.0000 0.0000 0.0000  6 S 2.70-2.73
Ag1 0.8305 0.8305 0.8305  6 S 2.72-2.82
S1 0.2531 0.2531 0.2531  3 In 2.70, 3 Ag 2.82
S2 0.4154 0.4154 0.4154  3 Ag 2.72, 3 In 2.73

Output
raw total energy: -3.67 eV per atom
formation energy (no corrections): -0.83 eV/f.u.
space-group type: No. 160
spin magnetization: 0.00 μB/f.u.



Entry 10:
Entry from Alexandria: a geometry-optimized Hf3Ti4N4 structure (GGA-PBE).

Lattice parameters (Å, degrees): 9.2873 9.2873 9.2873 153.93 152.89 37.97
With the nearest neighbours (Å) after each atom.
Fractional coordinates of all 11 atoms:
Hf1 0.0000 0.0000 0.0000  4 Hf 3.01, 4 Ti 3.13
Hf2 0.1227 0.6227 0.5000  3 N 2.18-2.24
Hf3 0.8773 0.3773 0.5000  3 N 2.18-2.24
Ti1 0.2555 0.2555 0.0000  5 N 2.05-2.18
Ti2 0.3716 0.8716 0.5000  3 N 2.09-2.14
Ti3 0.6284 0.1284 0.5000  3 N 2.09-2.14
Ti4 0.7445 0.7445 0.0000  5 N 2.05-2.18
N1 0.2500 0.7500 0.5000  5 Ti 2.10-2.18, 1 Hf 2.24
N2 0.3724 0.3724 0.0000  3 Ti 2.05-2.09, 2 Hf 2.18
N3 0.6276 0.6276 0.0000  3 Ti 2.05-2.09, 2 Hf 2.18
N4 0.7500 0.2500 0.5000  5 Ti 2.10-2.18, 1 Hf 2.24

Output
raw total energy: -9.55 eV per atom
formation energy (no corrections): -10.35 eV/f.u.
space-group type: No. 71
spin magnetization: 0.00 μB/f.u.



Entry 11:
Entry from Alexandria: a geometry-optimized TbNd6Tm3 structure (GGA-PBE).

Lattice parameters (Å, degrees): 11.7573 11.7573 6.4352 90.00 90.00 130.68
With the nearest neighbours (Å) after each atom.
Fractional coordinates of all 20 atoms:
Tb1 0.1573 0.8427 0.5000  4 Nd 3.30-3.67, 2 Tm 3.56
Tb2 0.8427 0.1573 0.0000  4 Nd 3.30-3.67, 2 Tm 3.56
Nd1 0.0159 0.9841 0.2936  2 Nd 3.29, 1 Tb 3.30, 4 Tm 3.51-3.63
Nd2 0.1060 0.5453 0.8089  2 Tm 3.32-3.49, 3 Nd 3.42-3.64, 2 Tb 3.67-3.71
Nd3 0.2606 0.3800 0.0605  3 Tm 3.38-3.59, 4 Nd 3.53-3.78
Nd4 0.3007 0.6993 0.2854  1 Tm 3.17, 1 Tb 3.36, 2 Nd 3.54
Nd5 0.3800 0.2606 0.5605  3 Tm 3.38-3.59, 4 Nd 3.53-3.78
Nd6 0.4547 0.8940 0.8089  2 Tm 3.32-3.49, 3 Nd 3.42-3.64, 2 Tb 3.67-3.71
Nd7 0.5453 0.1060 0.3089  2 Tm 3.32-3.49, 3 Nd 3.42-3.64, 2 Tb 3.67-3.71
Nd8 0.6200 0.7394 0.0605  3 Tm 3.38-3.59, 4 Nd 3.53-3.78
Nd9 0.6993 0.3007 0.7854  1 Tm 3.17, 1 Tb 3.36, 2 Nd 3.54
Nd10 0.7394 0.6200 0.5605  3 Tm 3.38-3.59, 4 Nd 3.53-3.78
Nd11 0.8940 0.4547 0.3089  2 Tm 3.32-3.49, 3 Nd 3.42-3.64, 2 Tb 3.67-3.71
Nd12 0.9841 0.0159 0.7936  2 Nd 3.29, 1 Tb 3.30, 4 Tm 3.51-3.63
Tm1 0.0426 0.2929 0.4780  2 Tm 3.29-3.46, 5 Nd 3.32-3.63, 1 Tb 3.56
Tm2 0.2929 0.0426 0.9780  2 Tm 3.29-3.46, 5 Nd 3.32-3.63, 1 Tb 3.56
Tm3 0.4195 0.5805 0.5801  3 Nd 3.17-3.48, 2 Tm 3.46
Tm4 0.5805 0.4195 0.0801  3 Nd 3.17-3.48, 2 Tm 3.46
Tm5 0.7071 0.9574 0.4780  2 Tm 3.29-3.46, 5 Nd 3.32-3.63, 1 Tb 3.56
Tm6 0.9574 0.7071 0.9780  2 Tm 3.29-3.46, 5 Nd 3.32-3.63, 1 Tb 3.56

Output
raw total energy: -4.54 eV per atom
ΔE to the lowest computed polymorph: 0 meV per atom
energy of formation: 12.37 kJ per mole of atoms
space-group type: No. 36
spin magnetization: 0.00 μB/f.u.



Entry 12:
Entry from Alexandria: a geometry-optimized La2TbDy2Y6 structure (GGA-PBE).

Lattice parameters (Å, degrees): 6.1569 6.1569 11.5323 90.46 90.46 119.45
With the nearest neighbours (Å) after each atom.
Fractional coordinates of all 11 atoms:
La1 0.1730 0.8270 0.0000  3 La 3.51-3.68, 6 Y 3.54-3.62
La2 0.8270 0.1730 0.0000  3 La 3.51-3.68, 6 Y 3.54-3.62
Tb1 0.5000 0.5000 0.5000  6 Y 3.49-3.52, 6 Dy 3.55-3.57
Dy1 0.1659 0.8341 0.5000  6 Y 3.51-3.54, 3 Dy 3.53-3.58, 3 Tb 3.55-3.57
Dy2 0.8341 0.1659 0.5000  6 Y 3.51-3.54, 3 Dy 3.53-3.58, 3 Tb 3.55-3.57
Y1 0.1608 0.4916 0.2543  1 Tb 3.49, 2 Dy 3.51, 6 Y 3.52-3.60, 2 La 3.54-3.58
Y2 0.1803 0.1803 0.7497  1 Tb 3.52, 6 Y 3.53-3.60, 2 Dy 3.54, 2 La 3.62
Y3 0.4916 0.1608 0.2543  1 Tb 3.49, 2 Dy 3.51, 6 Y 3.52-3.60, 2 La 3.54-3.58
Y4 0.5084 0.8392 0.7457  1 Tb 3.49, 2 Dy 3.51, 6 Y 3.52-3.60, 2 La 3.54-3.58
Y5 0.8197 0.8197 0.2503  1 Tb 3.52, 6 Y 3.53-3.60, 2 Dy 3.54, 2 La 3.62
Y6 0.8392 0.5084 0.7457  1 Tb 3.49, 2 Dy 3.51, 6 Y 3.52-3.60, 2 La 3.54-3.58

Output
raw total energy: -5.51 eV per atom
energy of formation: 16.03 kJ per mole of atoms
space-group type: No. 12
spin magnetization: 0.00 μB/f.u.



Please write out number 9 again, unchanged.
Entry from Alexandria: a geometry-optimized InAgS2 structure (GGA-PBE).

Lattice parameters (Å, degrees): 7.1043 7.1043 7.1043 30.50 30.50 30.50
With the nearest neighbours (Å) after each atom.
Fractional coordinates of all 4 atoms:
In1 0.0000 0.0000 0.0000  6 S 2.70-2.73
Ag1 0.8305 0.8305 0.8305  6 S 2.72-2.82
S1 0.2531 0.2531 0.2531  3 In 2.70, 3 Ag 2.82
S2 0.4154 0.4154 0.4154  3 Ag 2.72, 3 In 2.73

Output
raw total energy: -3.67 eV per atom
formation energy (no corrections): -0.83 eV/f.u.
space-group type: No. 160
spin magnetization: 0.00 μB/f.u.